1.
A plane-wave DFT calculation with PBE was carried out for MgInRe2 after structural relaxation.

Properties
ΔH_f (0 K)	0.45	eV per atom
symmetry	Cm (8)
density of states at the Fermi level	0.8941	states/eV per atom

Lattice parameters (Å, degrees): 4.781 4.781 5.196 97.10 97.10 35.45
Fractional coordinates of all 4 atoms:
Mg  0.000  0.000  0.000
In  0.758  0.758  0.242
Re  0.246  0.246  0.725
Re  0.507  0.507  0.533

2.
A plane-wave DFT calculation with PBE was carried out for Pm2Ni15Ru2 after structural relaxation.

Properties
ΔH_f (0 K)	-0.14	eV per atom
symmetry	R-3m (166)
density of states at the Fermi level	1.4380	states/eV per atom

Lattice parameters (Å, degrees): 6.350 6.350 6.350 82.51 82.51 82.51
Fractional coordinates of all 19 atoms:
Pm  0.156  0.156  0.156
Pm  0.844  0.844  0.844
Ni  0.000  0.500  0.500
Ni  0.157  0.157  0.655
Ni  0.157  0.655  0.157
Ni  0.203  0.500  0.797
Ni  0.203  0.797  0.500
Ni  0.345  0.843  0.843
Ni  0.500  0.000  0.500
Ni  0.500  0.203  0.797
Ni  0.500  0.500  0.000
Ni  0.500  0.797  0.203
Ni  0.655  0.157  0.157
Ni  0.797  0.203  0.500
Ni  0.797  0.500  0.203
Ni  0.843  0.345  0.843
Ni  0.843  0.843  0.345
Ru  0.404  0.404  0.404
Ru  0.596  0.596  0.596